AlTcSe2 | PBE | relaxed

It has space group F-43m (No. 216), with a = 6.476 Å, b = 6.476 Å, c = 6.476 Å, α = 90.00°, β = 90.00° and γ = 90.00°. Symmetry generates all atoms from Al at (0.000, 0.000, 0.000), Tc at (0.250, 0.250, 0.250), Se at (0.000, 0.000, 0.500) and Se at (0.250, 0.250, 0.750).

The uncorrected formation energy is 49 kJ/mol of atoms.